# GGA+U NiWO2F, optimized geometry
data_NiWO2F
_cell_length_a 4.043
_cell_length_b 4.043
_cell_length_c 4.179
_cell_angle_alpha 90.00
_cell_angle_beta 90.00
_cell_angle_gamma 90.00
_symmetry_space_group_name_H-M 'P 1'
_symmetry_Int_Tables_number 1
_symmetry_space_group_name_Hall 'P 1'
loop_
_atom_site_label
_atom_site_type_symbol
_atom_site_fract_x
_atom_site_fract_y
_atom_site_fract_z
Ni1 Ni 0.500 0.500 0.500
F1 F 0.000 0.000 0.500
W1 W 0.000 0.000 0.000
O1 O 0.500 0.000 0.000
O2 O 0.000 0.500 0.000
# V	68	Å³/cell
# uncorrected energy	-26.58	eV/cell